No. 1
4
Lattice="-4.470 3.834 -0.959 -5.622 -1.991 -0.153 4.998 0.429 3.230" Properties=species:S:1:pos:R:3 comment="GGA-PBE Sc3Al, optimized geometry" delta_e_f_ev_per_fu=-1.0 pbc="T T T"
Sc -2.485 2.998 1.017
Al 0.044 0.354 0.189
Sc -5.002 1.276 -0.367
Sc -2.520 -0.013 1.480

***

No. 2
11
Lattice="-0.141 2.971 -3.635 -3.878 -4.313 -3.375 -3.647 3.668 6.174" Properties=species:S:1:pos:R:3 comment="GGA-PBE Sc5Al6, optimized geometry" delta_e_f_ev_per_fu=-3.9 pbc="T T T"
Al -0.854 0.614 -2.500
Al -5.177 2.367 -0.899
Al -3.165 -1.956 -4.510
Sc -1.939 -2.157 -1.687
Sc -2.226 2.628 -0.800
Sc -5.440 -0.302 -0.035
Al -2.955 4.838 1.035
Sc -3.868 2.049 1.825
Sc -3.798 0.277 -2.661
Al -2.489 -0.041 0.063
Al -4.711 -2.512 -1.870

***

No. 3
3
Lattice="-1.601 2.077 4.788 1.601 -2.077 4.788 1.601 2.077 -4.788" Properties=species:S:1:pos:R:3 comment="GGA-PBE Sc2Al, optimized geometry" delta_e_f_ev_per_fu=-0.7 pbc="T T T"
Al 0.000 0.000 0.000
Sc 0.000 0.000 6.288
Sc 0.000 0.000 3.289

***

No. 4
4
Lattice="-2.309 0.804 2.107 -0.262 -2.718 -1.722 4.840 -5.051 7.234" Properties=species:S:1:pos:R:3 comment="GGA-PBE Sc3Al, optimized geometry" delta_e_f_ev_per_fu=-0.3 pbc="T T T"
Sc 2.420 -2.525 3.617
Sc 2.072 -4.230 6.360
Al 0.000 0.000 0.000
Sc -0.486 -1.560 2.535

***

No. 5
9
Lattice="7.207 0.002 0.000 -5.822 4.248 0.000 -0.692 -2.125 6.852" Properties=species:S:1:pos:R:3 comment="GGA-PBE Sc8Al, optimized geometry" delta_e_f_ev_per_fu=-0.6 pbc="T T T"
Sc -4.347 1.417 4.572
Sc -2.167 0.706 2.280
Sc -1.395 2.805 0.000
Sc 2.780 1.445 0.000
Sc 4.347 -1.417 4.572
Al 0.000 0.000 0.000
Sc 0.000 0.000 4.656
Sc 2.167 -0.706 2.280
Sc 0.692 2.125 2.196

***

No. 6
12
Lattice="-2.806 -0.308 6.403 4.067 -5.353 -1.943 4.136 5.645 -0.007" Properties=species:S:1:pos:R:3 comment="GGA-PBE Sc5Al7, optimized geometry" delta_e_f_ev_per_fu=-1.4 pbc="T T T"
Al 4.112 0.098 -0.937
Al 3.142 1.471 3.682
Al 0.676 2.621 3.236
Al 2.824 -4.038 2.781
Sc 0.088 -0.393 0.310
Sc 2.728 -1.198 2.970
Al 4.741 0.297 1.740
Al 0.578 -2.596 2.045
Al 1.224 -2.863 4.724
Sc 2.121 -3.633 0.052
Sc -1.015 -1.331 3.860
Sc 2.515 1.878 0.935

***

No. 7
4
Lattice="-4.662 -1.896 -2.471 -1.780 -5.131 1.393 1.156 5.239 1.629" Properties=species:S:1:pos:R:3 comment="GGA-PBE ScAl3, optimized geometry" delta_e_f_ev_per_fu=-1.0 pbc="T T T"
Al -4.407 -2.383 -0.824
Al -3.671 -0.064 0.822
Sc -1.187 1.131 -0.285
Al -0.422 3.481 1.366

***

No. 8
16
Lattice="-0.346 -2.997 7.514 6.562 -1.276 -4.570 2.277 4.667 1.966" Properties=species:S:1:pos:R:3 comment="GGA-PBE Sc3Al5, optimized geometry" polymorph_energy_mev_per_atom=277 delta_e_f_ev_per_fu=-1.3 pbc="T T T"
Al 1.956 -2.424 3.486
Al 1.434 1.130 7.416
Al 6.896 2.491 -2.138
Sc 5.419 0.948 3.233
Al 0.497 0.539 2.065
Al 5.484 -2.212 2.820
Al 4.259 -1.850 -0.542
Al 3.095 -0.090 4.470
Al 5.398 0.483 0.442
Sc 0.362 -0.623 4.978
Al 1.943 0.899 -0.465
Sc 4.487 0.405 -2.237
Sc 1.568 2.292 4.502
Sc 3.074 -0.555 1.678
Al 3.009 2.605 2.091
Sc 4.352 2.986 -0.366